The following is a DFT calculation (PBE) of a relaxed structure of NiIrCl.

Lattice parameters (Å, degrees): 4.1637 4.1637 4.1637 60.00 60.00 60.00
With the nearest neighbours (Å) after each atom.
Fractional coordinates of all 3 atoms:
Cl 0.5000 0.5000 0.5000  4 Ir 2.55
Ni 0.0000 0.0000 0.0000  4 Ir 2.55
Ir 0.2500 0.2500 0.2500  4 Ni 2.55, 4 Cl 2.55

Computed properties:
Raw formation energy ... 0.903 eV/atom
Offset from the most stable computed form ... 1.409 eV per formula unit
D(E_F) ... 2.415 states/eV per cell
E_tot ... -4.594 eV per atom